# PBE with a Hubbard U YMnAgO2, optimized geometry
# - Crystal system: tetragonal
# - Calculated total energy: -4.888 eV/atom
data_YMnAgO2
_chemical_formula_sum 'Y1 Mn1 Ag1 O2'
_cell_length_a 4.344
_cell_length_b 4.344
_cell_length_c 5.166
_cell_angle_alpha 90.00
_cell_angle_beta 90.00
_cell_angle_gamma 90.00
_symmetry_space_group_name_H-M 'P 4/m m m'
_symmetry_Int_Tables_number 123
_symmetry_space_group_name_Hall '-P 4 2'
loop_
_atom_site_label
_atom_site_type_symbol
_atom_site_fract_x
_atom_site_fract_y
_atom_site_fract_z
_atom_site_occupancy
Y1 Y 0.000 0.000 0.000 1
Mn1 Mn 0.500 0.500 0.000 1
Ag1 Ag 0.000 0.000 0.500 1
O1 O 0.000 0.500 0.500 1